This record from the Alexandria database describes CrPIO2 after structural relaxation. The functional is PBE with a Hubbard U.

```
CrPIO2
1.0
3.756 0.000 0.000
0.000 3.756 0.000
0.000 0.000 7.770
O I P Cr
2 1 1 1
Cartesian
1.878 0.000 0.000
0.000 1.878 0.000
0.000 0.000 3.885
1.878 1.878 3.885
0.000 0.000 0.000
```

Summary:
V ... 21.9 Å³ per atom
Distance to the lowest polymorph of the same formula ... 109 meV per atom